Here is an optimized crystal structure of LiV4O8 from Alexandria via LeMat-Bulk. Energies are from GGA+U.

The structure belongs to space group C2/m (No. 12); the cell edges are 12.7551, 3.8195 and 6.4177 Å and the angles 90.00°, 107.23° and 90.00°. The inequivalent atoms are Li at (0.0000, 0.0000, 0.0000), V at (0.1023, 0.0000, 0.6764), V at (0.2059, 0.0000, 0.2897), O at (0.0529, 0.0000, 0.3445), O at (0.1355, 0.5000, 0.6937), O at (0.1471, 0.0000, 0.0100) and O at (0.2413, 0.5000, 0.3598).

The energy relative to the lowest polymorph listed for this composition is 0.000 eV/atom. The total magnetization is 10.00 Bohr magnetons per cell. Its total DFT energy (no corrections) is -194.639 eV for the cell shown.